InCoSbI2: relaxed, GGA-PBE.

```
data_InCoSbI2
_chemical_formula_sum 'In1 Co1 Sb1 I2'
_cell_length_a 5.663
_cell_length_b 5.663
_cell_length_c 4.753
_cell_angle_alpha 90.00
_cell_angle_beta 90.00
_cell_angle_gamma 90.00
_space_group_name_H-M_alt 'P 4/m m m'
_space_group_IT_number 123
_space_group_name_Hall '-P 4 2'
loop_
_atom_site_label
_atom_site_fract_x
_atom_site_fract_y
_atom_site_fract_z
In1 0.000 0.000 0.000
Co1 0.500 0.500 0.500
Sb1 0.500 0.500 0.000
I1 0.000 0.500 0.500
```

Energy above the lowest structure with this stoichiometry ... 0.0 meV/atom
Uncorrected formation energy ... 0.80 eV per formula unit

CsHfGa2: relaxed, GGA-PBE.

```
data_CsHfGa2
_chemical_formula_sum 'Cs4 Hf4 Ga8'
_cell_length_a 7.504
_cell_length_b 7.504
_cell_length_c 7.504
_cell_angle_alpha 90.00
_cell_angle_beta 90.00
_cell_angle_gamma 90.00
_space_group_name_H-M_alt 'F m -3 m'
_space_group_IT_number 225
_space_group_name_Hall '-F 4 2 3'
loop_
_atom_site_label
_atom_site_fract_x
_atom_site_fract_y
_atom_site_fract_z
Cs1 0.000 0.000 0.000
Hf1 0.000 0.000 0.500
Ga1 0.250 0.250 0.250
```

ΔE_f ... 2.80 eV/f.u.